Here is a geometry-optimized PmMgP2Rh5 structure from the Alexandria database. Energies are from GGA-PBE.

Results
energy of formation from the pure elements = -5.44 eV per formula unit
total magnetic moment = 0.00 Bohr magnetons per cell
energy = -0.24239 hartree per atom

Unit cell a=4.1433 b=4.1433 c=9.4484 alpha=90.00 beta=90.00 gamma=90.00
Element x y z (fractional)
Pm  0.0000  0.0000  0.5000
Mg  0.0000  0.0000  0.0000
P  0.5000  0.5000  0.2621
P  0.5000  0.5000  0.7379
Rh  0.0000  0.5000  0.1684
Rh  0.5000  0.0000  0.1684
Rh  0.0000  0.5000  0.8316
Rh  0.5000  0.0000  0.8316
Rh  0.5000  0.5000  0.5000

Here is a geometry-optimized ZrMo2Pb structure from the Alexandria database. Energies are from GGA-PBE.

Results
energy of formation from the pure elements = 1.54 eV per formula unit
total magnetic moment = 0.00 Bohr magnetons per cell
energy = -0.29744 hartree per atom

Unit cell a=4.7653 b=4.7653 c=4.7653 alpha=60.00 beta=60.00 gamma=60.00
Element x y z (fractional)
Mo  0.0000  0.0000  0.0000
Mo  0.2500  0.2500  0.2500
Pb  0.5000  0.5000  0.5000
Zr  0.7500  0.7500  0.7500

Here is a geometry-optimized TaFeBr2 structure from the Alexandria database. Energies are from GGA-PBE.

Results
total magnetic moment = 3.15 Bohr magnetons per cell
excess energy over the best structure of this formula in the dataset = 618 meV per atom
energy = -0.19418 hartree per atom

Unit cell a=3.3197 b=3.3197 c=8.9910 alpha=90.00 beta=90.00 gamma=125.17
Element x y z (fractional)
Br  0.0000  0.0000  0.9958
Br  0.0000  0.0000  0.5042
Fe  0.5000  0.5000  0.2500
Ta  0.5000  0.5000  0.7500

Here is a geometry-optimized InCu2Os structure from the Alexandria database. Energies are from GGA-PBE.

Results
energy of formation from the pure elements = 2.05 eV per formula unit
total magnetic moment = 0.13 Bohr magnetons per cell
energy = -0.18475 hartree per atom

Unit cell a=2.7742 b=2.7742 c=9.0481 alpha=90.00 beta=90.00 gamma=117.81
Element x y z (fractional)
Cu  0.0000  0.0000  0.9881
Cu  0.0000  0.0000  0.5119
In  0.5000  0.5000  0.2500
Os  0.5000  0.5000  0.7500

Here is a geometry-optimized TiCrSbI2 structure from the Alexandria database. Energies are from GGA-PBE.

Results
total magnetic moment = 5.19 Bohr magnetons per cell
excess energy over the best structure of this formula in the dataset = 190 meV per atom
energy = -0.15939 hartree per atom

Unit cell a=5.4360 b=5.4360 c=5.2723 alpha=90.00 beta=90.00 gamma=90.00
Element x y z (fractional)
I  0.0000  0.5000  0.0000
I  0.5000  0.0000  0.0000
Sb  0.0000  0.0000  0.5000
Ti  0.5000  0.5000  0.5000
Cr  0.0000  0.0000  0.0000

Here is a geometry-optimized Ce3HoTh2N6 structure from the Alexandria database. Energies are from GGA-PBE.

Results
total magnetic moment = 0.00 Bohr magnetons per cell
energy = -0.32437 hartree per atom

Unit cell a=6.2151 b=6.2151 c=6.2086 alpha=99.58 beta=99.58 gamma=120.02
Element x y z (fractional)
Ce  0.1651  0.8349  0.5000
Ce  0.8349  0.1651  0.5000
Ce  0.5000  0.5000  0.5000
Ho  0.0000  0.0000  0.0000
Th  0.3331  0.6669  0.0000
Th  0.6669  0.3331  0.0000
N  0.9178  0.5899  0.7530
N  0.7552  0.7552  0.2488
N  0.0822  0.4101  0.2470
N  0.5899  0.9178  0.7530
N  0.2448  0.2448  0.7512
N  0.4101  0.0822  0.2470

Here is a geometry-optimized BeCdSb3 structure from the Alexandria database. Energies are from GGA-PBE.

Results
total magnetic moment = 0.00 Bohr magnetons per cell
excess energy over the best structure of this formula in the dataset = 0 meV per atom
energy = -0.10793 hartree per atom

Unit cell a=4.9913 b=4.9913 c=4.9913 alpha=90.00 beta=90.00 gamma=90.00
Element x y z (fractional)
Sb  0.0000  0.5000  0.0000
Sb  0.0000  0.0000  0.5000
Sb  0.5000  0.0000  0.0000
Be  0.0000  0.0000  0.0000
Cd  0.5000  0.5000  0.5000

Here is a geometry-optimized Pr4TlIn2 structure from the Alexandria database. Energies are from GGA-PBE.

Results
energy of formation from the pure elements = -2.21 eV per formula unit
total magnetic moment = 0.00 Bohr magnetons per cell
excess energy over the best structure of this formula in the dataset = 0 meV per atom
energy = -0.15316 hartree per atom

Unit cell a=6.7119 b=6.7119 c=6.7119 alpha=110.04 beta=109.19 gamma=109.19
Element x y z (fractional)
Pr  0.5000  0.0000  0.0000
Pr  0.5000  0.5000  0.5000
Pr  0.0000  0.0000  0.5000
Pr  0.0000  0.5000  0.0000
Tl  0.0000  0.0000  0.0000
In  0.5000  0.5000  0.0000
In  0.5000  0.0000  0.5000

- energy of number 2 (ZrMo2Pb)?
  -0.29744 hartree per atom

- Which formula does entry 2 have?
  ZrMo2Pb

- What is the energy in the sixth record?
  -0.32437 hartree per atom

- What is the energy in the second record?
  -0.29744 hartree per atom